# 1
A relaxed TbNi3 crystal. Source: OQMD, functional PBE.

Calculated values
**Symmetry**: No. 139
**Formation energy**: -165 meV per atom

a = 4.712 Å, b = 4.712 Å, c = 4.712 Å
α = 131.09°, β = 131.09°, γ = 71.67°
Fractional positions:
Tb1 0.000 0.000 0.000
Ni1 0.250 0.750 0.500
Ni2 0.500 0.500 0.000
Ni3 0.750 0.250 0.500

=====

# 2
A relaxed Tb2Ni7 crystal. Source: OQMD, functional PBE.

Calculated values
**Symmetry**: No. 194
**Formation energy**: -387 meV per atom

a = 4.925 Å, b = 4.925 Å, c = 24.124 Å
α = 90.00°, β = 90.00°, γ = 120.00°
Fractional positions:
Tb1 0.333 0.667 0.030
Tb2 0.333 0.667 0.174
Tb3 0.333 0.667 0.326
Tb4 0.333 0.667 0.470
Tb5 0.667 0.333 0.530
Tb6 0.667 0.333 0.674
Tb7 0.667 0.333 0.826
Tb8 0.667 0.333 0.970
Ni1 0.000 0.000 0.000
Ni2 0.000 0.000 0.168
Ni3 0.000 0.000 0.332
Ni4 0.000 0.000 0.500
Ni5 0.000 0.000 0.668
Ni6 0.000 0.000 0.832
Ni7 0.167 0.334 0.586
Ni8 0.167 0.334 0.750
Ni9 0.167 0.334 0.914
Ni10 0.167 0.833 0.586
Ni11 0.167 0.833 0.750
Ni12 0.167 0.833 0.914
Ni13 0.333 0.667 0.668
Ni14 0.333 0.667 0.832
Ni15 0.334 0.167 0.086
Ni16 0.334 0.167 0.250
Ni17 0.334 0.167 0.414
Ni18 0.666 0.833 0.586
Ni19 0.666 0.833 0.750
Ni20 0.666 0.833 0.914
Ni21 0.667 0.333 0.168
Ni22 0.667 0.333 0.332
Ni23 0.833 0.167 0.086
Ni24 0.833 0.167 0.250
Ni25 0.833 0.167 0.414
Ni26 0.833 0.666 0.086
Ni27 0.833 0.666 0.250
Ni28 0.833 0.666 0.414

=====

# 3
A relaxed TbNi crystal. Source: OQMD, functional PBE.

Calculated values
**Symmetry**: No. 62
**Formation energy**: -445 meV per atom

a = 21.011 Å, b = 4.233 Å, c = 5.427 Å
α = 90.00°, β = 90.00°, γ = 90.00°
Fractional positions:
Tb1 0.060 0.250 0.134
Tb2 0.106 0.750 0.624
Tb3 0.227 0.250 0.891
Tb4 0.273 0.750 0.391
Tb5 0.394 0.250 0.124
Tb6 0.440 0.750 0.634
Tb7 0.560 0.250 0.366
Tb8 0.606 0.750 0.876
Tb9 0.727 0.250 0.609
Tb10 0.773 0.750 0.109
Tb11 0.894 0.250 0.376
Tb12 0.940 0.750 0.866
Ni1 0.012 0.250 0.629
Ni2 0.154 0.750 0.130
Ni3 0.179 0.250 0.384
Ni4 0.321 0.750 0.884
Ni5 0.346 0.250 0.630
Ni6 0.488 0.750 0.129
Ni7 0.512 0.250 0.871
Ni8 0.654 0.750 0.370
Ni9 0.679 0.250 0.116
Ni10 0.821 0.750 0.616
Ni11 0.846 0.250 0.870
Ni12 0.988 0.750 0.371

=====

# 4
A relaxed TbNi crystal. Source: OQMD, functional PBE.

Calculated values
**Symmetry**: No. 194
**Formation energy**: -364 meV per atom

a = 4.347 Å, b = 4.347 Å, c = 5.052 Å
α = 90.00°, β = 90.00°, γ = 120.00°
Fractional positions:
Tb1 0.333 0.667 0.250
Tb2 0.667 0.333 0.750
Ni1 0.000 0.000 0.000
Ni2 0.000 0.000 0.500

=====

Result set for spin magnetization: 0.11; 0.14; 0.00; 0.00 μB per atom, one per record in the order listed.